Entry 1:
Material: CuAg
Method: DFT, PBE
State: relaxed

## Properties
For the calculated formation energy, the calculation gives 0.11 eV per atom. As for the space-group type: No. 12. The calculation puts the electronic total energy at -0.1162 hartree per atom.

a = 11.470 Å, b = 11.470 Å, c = 4.656 Å
α = 96.77°, β = 96.77°, γ = 14.26°
Fractional coordinates of all 10 atoms:
Cu (0.000, 0.000, 0.000)
Cu (0.104, 0.104, 0.692)
Cu (0.299, 0.299, 0.104)
Cu (0.701, 0.701, 0.896)
Cu (0.896, 0.896, 0.308)
Ag (0.199, 0.199, 0.392)
Ag (0.403, 0.403, 0.827)
Ag (0.500, 0.500, 0.500)
Ag (0.597, 0.597, 0.173)
Ag (0.801, 0.801, 0.608)



Entry 2:
Material: Cu3Ag4
Method: DFT, PBE
State: relaxed

## Properties
For the calculated formation energy, the calculation gives 0.09 eV per atom. As for the space-group type: No. 71. The calculation puts the electronic total energy at -0.1144 hartree per atom.

a = 10.282 Å, b = 10.282 Å, c = 10.282 Å
α = 164.14°, β = 158.69°, γ = 26.68°
Fractional coordinates of all 7 atoms:
Cu (0.000, 0.000, 0.000)
Cu (0.140, 0.140, 0.000)
Cu (0.860, 0.860, 0.000)
Ag (0.290, 0.290, 0.000)
Ag (0.430, 0.430, 0.000)
Ag (0.570, 0.570, 0.000)
Ag (0.710, 0.710, 0.000)



Entry 3:
Material: Cu3Ag2
Method: DFT, PBE
State: relaxed

## Properties
For the calculated formation energy, the calculation gives 0.08 eV per atom. As for the space-group type: No. 8. The calculation puts the electronic total energy at -0.1207 hartree per atom.

a = 4.865 Å, b = 4.865 Å, c = 10.957 Å
α = 96.42°, β = 96.42°, γ = 33.60°
Fractional coordinates of all 10 atoms:
Cu (0.000, 0.000, 0.000)
Cu (0.322, 0.322, 0.102)
Cu (0.519, 0.519, 0.462)
Cu (0.620, 0.620, 0.170)
Cu (0.846, 0.846, 0.568)
Cu (0.941, 0.941, 0.272)
Ag (0.135, 0.135, 0.660)
Ag (0.230, 0.230, 0.370)
Ag (0.423, 0.423, 0.783)
Ag (0.710, 0.710, 0.904)



Entry 4:
Material: Cu2Ag7
Method: DFT, PBE
State: relaxed

## Properties
For the calculated formation energy, the calculation gives 0.04 eV per atom. As for the space-group type: No. 12. The calculation puts the electronic total energy at -0.1096 hartree per atom.

a = 5.024 Å, b = 5.024 Å, c = 11.703 Å
α = 112.86°, β = 112.86°, γ = 33.62°
Fractional coordinates of all 9 atoms:
Cu (0.185, 0.185, 0.053)
Cu (0.815, 0.815, 0.947)
Ag (0.161, 0.161, 0.737)
Ag (0.169, 0.169, 0.381)
Ag (0.493, 0.493, 0.858)
Ag (0.500, 0.500, 0.500)
Ag (0.507, 0.507, 0.142)
Ag (0.831, 0.831, 0.619)
Ag (0.839, 0.839, 0.263)



Entry 5:
Material: Cu3Ag2
Method: DFT, PBE
State: relaxed

## Properties
For the calculated formation energy, the calculation gives 0.09 eV per atom. As for the space-group type: No. 12. The calculation puts the electronic total energy at -0.1203 hartree per atom.

a = 5.934 Å, b = 5.934 Å, c = 9.099 Å
α = 100.28°, β = 100.28°, γ = 26.89°
Fractional coordinates of all 10 atoms:
Cu (0.061, 0.061, 0.164)
Cu (0.160, 0.160, 0.448)
Cu (0.256, 0.256, 0.743)
Cu (0.744, 0.744, 0.257)
Cu (0.840, 0.840, 0.552)
Cu (0.939, 0.939, 0.836)
Ag (0.358, 0.358, 0.048)
Ag (0.447, 0.447, 0.353)
Ag (0.553, 0.553, 0.647)
Ag (0.642, 0.642, 0.952)



Entry 6:
Material: Cu3Ag2
Method: DFT, PBE
State: relaxed

## Properties
For the calculated formation energy, the calculation gives 0.09 eV per atom. As for the space-group type: No. 8. The calculation puts the electronic total energy at -0.1203 hartree per atom.

a = 7.288 Å, b = 7.288 Å, c = 7.458 Å
α = 104.73°, β = 104.73°, γ = 21.89°
Fractional coordinates of all 10 atoms:
Cu (0.000, 0.000, 0.000)
Cu (0.003, 0.003, 0.464)
Cu (0.182, 0.182, 0.084)
Cu (0.195, 0.195, 0.564)
Cu (0.413, 0.413, 0.189)
Cu (0.597, 0.597, 0.283)
Ag (0.399, 0.399, 0.682)
Ag (0.597, 0.597, 0.773)
Ag (0.797, 0.797, 0.358)
Ag (0.797, 0.797, 0.906)